Entry from the Alexandria database: a relaxed La4PmSn3 crystal (PBE).

Cell lengths 6.2952, 9.5366, 9.5366 Å; angles 83.75, 70.73, 70.73 degrees
With the nearest neighbours (Å) after each atom.
Element x y z (fractional)
Pm1 0.7500 0.5000 0.5000  2 Pm 3.15, 4 Sn 3.25
Pm2 0.2500 0.5000 0.5000  2 Pm 3.15, 4 Sn 3.25
Sn1 0.7500 0.0000 0.0000  2 Sn 3.15, 8 La 3.40
Sn2 0.2500 0.0000 0.0000  2 Sn 3.15, 8 La 3.40
Sn3 0.3423 0.8153 0.5000  2 Pm 3.25, 8 La 3.34-3.62
Sn4 0.6577 0.1847 0.5000  2 Pm 3.25, 8 La 3.34-3.62
Sn5 0.1577 0.5000 0.1847  2 Pm 3.25, 8 La 3.34-3.62
Sn6 0.8423 0.5000 0.8153  2 Pm 3.25, 8 La 3.34-3.62
La1 0.4127 0.3074 0.8672  6 Sn 3.34-3.62, 1 La 3.47
La2 0.5873 0.6926 0.1328  6 Sn 3.34-3.62, 1 La 3.47
La3 0.7201 0.8672 0.6926  6 Sn 3.34-3.62, 1 La 3.47
La4 0.0873 0.1328 0.6926  6 Sn 3.34-3.62, 1 La 3.47
La5 0.2799 0.1328 0.3074  6 Sn 3.34-3.62, 1 La 3.47
La6 0.9127 0.8672 0.3074  6 Sn 3.34-3.62, 1 La 3.47
La7 0.7799 0.3074 0.1328  6 Sn 3.34-3.62, 1 La 3.47
La8 0.2201 0.6926 0.8672  6 Sn 3.34-3.62, 1 La 3.47

Calculated values
Its total magnetic moment is 1.38 μB per cell. The space-group type is I4/mcm, No. 140. The energy of formation from the pure elements comes out at -0.719 eV/atom.